Entry 1:
# SrNiAu3 (GGA-PBE, relaxed)
data_SrNiAu3
_chemical_formula_sum 'Sr1 Ni1 Au3'
_space_group_name_H-M_alt 'P m -3 m'
_space_group_IT_number 221
_space_group_name_Hall '-P 4 2 3'
_cell_length_a 5.736
_cell_length_b 5.736
_cell_length_c 5.736
_cell_angle_alpha 90.00
_cell_angle_beta 90.00
_cell_angle_gamma 90.00
loop_
_atom_site_label
_atom_site_fract_x
_atom_site_fract_y
_atom_site_fract_z
Sr1 0.000 0.000 0.000
Ni1 0.500 0.500 0.500
Au1 0.000 0.000 0.500
# Total magnetic moment: 1.06 μB/f.u.
# Energy of formation: 1.160 eV/atom
# Distance to the lowest polymorph of the same formula: 1.399 eV per atom

Entry 2:
# LaAuBr2 (GGA-PBE, relaxed)
data_LaAuBr2
_chemical_formula_sum 'La4 Au4 Br8'
_space_group_name_H-M_alt 'I -4 2 d'
_space_group_IT_number 122
_space_group_name_Hall 'I -4 2bw'
_cell_length_a 4.933
_cell_length_b 4.933
_cell_length_c 20.000
_cell_angle_alpha 90.00
_cell_angle_beta 90.00
_cell_angle_gamma 90.00
loop_
_atom_site_label
_atom_site_fract_x
_atom_site_fract_y
_atom_site_fract_z
La1 0.000 0.000 0.000
Au1 0.000 0.000 0.500
Br1 0.232 0.250 0.125
# Total magnetic moment: 0.00 μB/f.u.
# Formation energy from raw total energies: -3.7 eV per formula unit
# Distance to the lowest polymorph of the same formula: 0.367 eV per atom